# PBE-GGA BaCaHg4, relaxed
# Mass density = 9.08 g cm⁻³
# Formation energy = -46 kJ/mol of atoms
# Total magnetization = 0.00 μB/atom
# Polymorph energy (0 for the lowest one) = 0 meV per atom
# Electronic total energy = -1.332 eV/atom
# DOS(E_F) = 9.2 states/eV/cell
data_BaCaHg4
_space_group_name_H-M_alt 'C 1 2/m 1'
_space_group_IT_number 12
_cell_length_a 8.841
_cell_length_b 5.103
_cell_length_c 7.941
_cell_angle_alpha 90.00
_cell_angle_beta 90.30
_cell_angle_gamma 90.00
loop_
_space_group_symop_operation_xyz
'x,y,z'
'-x,-y,-z'
'-x,y,-z'
'x,-y,z'
'x+1/2,y+1/2,z'
'-x+1/2,-y+1/2,-z'
'-x+1/2,y+1/2,-z'
'x+1/2,-y+1/2,z'
loop_
_atom_site_label
_atom_site_type_symbol
_atom_site_fract_x
_atom_site_fract_y
_atom_site_fract_z
Ba1 Ba 0.000 0.000 0.000
Ca1 Ca 0.000 0.000 0.500
Hg1 Hg 0.166 0.500 0.288
Hg2 Hg 0.167 0.500 0.712

---

# PBE-GGA Ba2CaHg2, relaxed
# Mass density = 5.65 g cm⁻³
# Formation energy = -28 kJ/mol of atoms
# Total magnetization = 0.00 μB/atom
# Polymorph energy (0 for the lowest one) = 116 meV per atom
# Electronic total energy = -1.580 eV/atom
# DOS(E_F) = 2.2 states/eV/cell
data_Ba2CaHg2
_space_group_name_H-M_alt 'I 4/m m m'
_space_group_IT_number 139
_space_group_name_Hall '-I 4 2'
_cell_length_a 6.705
_cell_length_b 6.705
_cell_length_c 9.367
_cell_angle_alpha 90.00
_cell_angle_beta 90.00
_cell_angle_gamma 90.00
loop_
_atom_site_label
_atom_site_type_symbol
_atom_site_fract_x
_atom_site_fract_y
_atom_site_fract_z
Ba1 Ba 0.000 0.500 0.250
Ca1 Ca 0.000 0.000 0.000
Hg1 Hg 0.000 0.000 0.349

---

# PBE-GGA BaCaHg3, relaxed
# Mass density = 5.50 g cm⁻³
# Formation energy = 17 kJ/mol of atoms
# Total magnetization = 0.00 μB/atom
# Polymorph energy (0 for the lowest one) = 678 meV per atom
# Electronic total energy = -0.786 eV/atom
# DOS(E_F) = 4.5 states/eV/cell
data_BaCaHg3
_space_group_name_H-M_alt 'P m -3 m'
_space_group_IT_number 221
_space_group_name_Hall '-P 4 2 3'
_cell_length_a 6.173
_cell_length_b 6.173
_cell_length_c 6.173
_cell_angle_alpha 90.00
_cell_angle_beta 90.00
_cell_angle_gamma 90.00
loop_
_atom_site_label
_atom_site_type_symbol
_atom_site_fract_x
_atom_site_fract_y
_atom_site_fract_z
Ba1 Ba 0.000 0.000 0.000
Ca1 Ca 0.500 0.500 0.500
Hg1 Hg 0.000 0.000 0.500

---

# PBE-GGA BaCa2Hg, relaxed
# Mass density = 4.41 g cm⁻³
# Formation energy = -26 kJ/mol of atoms
# Total magnetization = 0.00 μB/atom
# Electronic total energy = -1.824 eV/atom
# DOS(E_F) = 7.6 states/eV/cell
data_BaCa2Hg
_space_group_name_H-M_alt 'I m m m'
_space_group_IT_number 71
_space_group_name_Hall '-I 2 2'
_cell_length_a 4.012
_cell_length_b 6.208
_cell_length_c 12.655
_cell_angle_alpha 90.00
_cell_angle_beta 90.00
_cell_angle_gamma 90.00
loop_
_atom_site_label
_atom_site_type_symbol
_atom_site_fract_x
_atom_site_fract_y
_atom_site_fract_z
Ba1 Ba 0.000 0.000 0.000
Ca1 Ca 0.000 0.500 0.199
Hg1 Hg 0.000 0.000 0.500

---

# PBE-GGA Ba2CaHg2, relaxed
# Mass density = 6.20 g cm⁻³
# Formation energy = -27 kJ/mol of atoms
# Total magnetization = 0.00 μB/atom
# Polymorph energy (0 for the lowest one) = 126 meV per atom
# Electronic total energy = -1.570 eV/atom
# DOS(E_F) = 12.1 states/eV/cell
data_Ba2CaHg2
_space_group_name_H-M_alt 'P 4/m b m'
_space_group_IT_number 127
_space_group_name_Hall '-P 4 2ab'
_cell_length_a 9.864
_cell_length_b 9.864
_cell_length_c 3.942
_cell_angle_alpha 90.00
_cell_angle_beta 90.00
_cell_angle_gamma 90.00
loop_
_atom_site_label
_atom_site_type_symbol
_atom_site_fract_x
_atom_site_fract_y
_atom_site_fract_z
Ba1 Ba 0.139 0.361 0.000
Ca1 Ca 0.000 0.000 0.000
Hg1 Hg 0.157 0.657 0.500

---

# PBE-GGA BaCa2Hg2, relaxed
# Mass density = 5.39 g cm⁻³
# Formation energy = -29 kJ/mol of atoms
# Total magnetization = 0.00 μB/atom
# Polymorph energy (0 for the lowest one) = 108 meV per atom
# Electronic total energy = -1.604 eV/atom
# DOS(E_F) = 9.0 states/eV/cell
data_BaCa2Hg2
_space_group_name_H-M_alt 'I 4/m m m'
_space_group_IT_number 139
_space_group_name_Hall '-I 4 2'
_cell_length_a 5.772
_cell_length_b 5.772
_cell_length_c 11.451
_cell_angle_alpha 90.00
_cell_angle_beta 90.00
_cell_angle_gamma 90.00
loop_
_atom_site_label
_atom_site_type_symbol
_atom_site_fract_x
_atom_site_fract_y
_atom_site_fract_z
Ba1 Ba 0.000 0.000 0.000
Ca1 Ca 0.000 0.000 0.344
Hg1 Hg 0.000 0.500 0.250

---

# PBE-GGA Ba4CaHg5, relaxed
# Mass density = 7.52 g cm⁻³
# Formation energy = -50 kJ/mol of atoms
# Total magnetization = 0.00 μB/atom
# Electronic total energy = -1.635 eV/atom
# DOS(E_F) = 7.8 states/eV/cell
data_Ba4CaHg5
_space_group_name_H-M_alt 'P 4/m m m'
_space_group_IT_number 123
_space_group_name_Hall '-P 4 2'
_cell_length_a 4.124
_cell_length_b 4.124
_cell_length_c 20.673
_cell_angle_alpha 90.00
_cell_angle_beta 90.00
_cell_angle_gamma 90.00
loop_
_atom_site_label
_atom_site_type_symbol
_atom_site_fract_x
_atom_site_fract_y
_atom_site_fract_z
Ba1 Ba 0.000 0.000 0.104
Ba2 Ba 0.000 0.000 0.312
Ca1 Ca 0.000 0.000 0.500
Hg1 Hg 0.500 0.500 0.000
Hg2 Hg 0.500 0.500 0.207
Hg3 Hg 0.500 0.500 0.417

---

# PBE-GGA BaCa2Hg9, relaxed
# Mass density = 10.05 g cm⁻³
# Formation energy = -36 kJ/mol of atoms
# Total magnetization = 0.00 μB/atom
# Electronic total energy = -1.095 eV/atom
# DOS(E_F) = 4.8 states/eV/cell
data_BaCa2Hg9
_space_group_name_H-M_alt 'P 4/m m m'
_space_group_IT_number 123
_space_group_name_Hall '-P 4 2'
_cell_length_a 4.813
_cell_length_b 4.813
_cell_length_c 14.430
_cell_angle_alpha 90.00
_cell_angle_beta 90.00
_cell_angle_gamma 90.00
loop_
_atom_site_label
_atom_site_type_symbol
_atom_site_fract_x
_atom_site_fract_y
_atom_site_fract_z
Ba1 Ba 0.000 0.000 0.000
Ca1 Ca 0.000 0.000 0.342
Hg1 Hg 0.000 0.500 0.183
Hg2 Hg 0.000 0.500 0.500
Hg3 Hg 0.500 0.500 0.000
Hg4 Hg 0.500 0.500 0.345

---

# PBE-GGA BaCa2Hg, relaxed
# Mass density = 4.25 g cm⁻³
# Formation energy = -1 kJ/mol of atoms
# Total magnetization = 0.00 μB/atom
# Electronic total energy = -1.562 eV/atom
# DOS(E_F) = 17.9 states/eV/cell
data_BaCa2Hg
_space_group_name_H-M_alt 'I -4 2 d'
_space_group_IT_number 122
_space_group_name_Hall 'I -4 2bw'
_cell_length_a 5.031
_cell_length_b 5.031
_cell_length_c 25.815
_cell_angle_alpha 90.00
_cell_angle_beta 90.00
_cell_angle_gamma 90.00
loop_
_atom_site_label
_atom_site_type_symbol
_atom_site_fract_x
_atom_site_fract_y
_atom_site_fract_z
Ba1 Ba 0.000 0.000 0.000
Ca1 Ca 0.228 0.250 0.625
Hg1 Hg 0.000 0.000 0.500

---

# PBE-GGA BaCa2Hg, relaxed
# Mass density = 4.31 g cm⁻³
# Formation energy = -15 kJ/mol of atoms
# Total magnetization = 0.00 μB/atom
# Electronic total energy = -1.708 eV/atom
# DOS(E_F) = 5.4 states/eV/cell
data_BaCa2Hg
_space_group_name_H-M_alt 'P 1 2/m 1'
_space_group_IT_number 10
_cell_length_a 4.379
_cell_length_b 5.051
_cell_length_c 7.516
_cell_angle_alpha 90.00
_cell_angle_beta 104.28
_cell_angle_gamma 90.00
loop_
_space_group_symop_operation_xyz
'x,y,z'
'-x,-y,-z'
'-x,y,-z'
'x,-y,z'
loop_
_atom_site_label
_atom_site_type_symbol
_atom_site_fract_x
_atom_site_fract_y
_atom_site_fract_z
Ba1 Ba 0.000 0.000 0.000
Ca1 Ca 0.369 0.500 0.704
Hg1 Hg 0.000 0.000 0.500

---

# PBE-GGA Ba3Ca4Hg4, relaxed
# Mass density = 5.53 g cm⁻³
# Formation energy = -38 kJ/mol of atoms
# Total magnetization = 0.00 μB/atom
# Electronic total energy = -1.751 eV/atom
# DOS(E_F) = 22.9 states/eV/cell
data_Ba3Ca4Hg4
_space_group_name_H-M_alt 'I m m m'
_space_group_IT_number 71
_space_group_name_Hall '-I 2 2'
_cell_length_a 4.392
_cell_length_b 10.064
_cell_length_c 18.673
_cell_angle_alpha 90.00
_cell_angle_beta 90.00
_cell_angle_gamma 90.00
loop_
_atom_site_label
_atom_site_type_symbol
_atom_site_fract_x
_atom_site_fract_y
_atom_site_fract_z
Ba1 Ba 0.000 0.000 0.000
Ba2 Ba 0.000 0.500 0.105
Ca1 Ca 0.000 0.313 0.327
Hg1 Hg 0.000 0.000 0.247
Hg2 Hg 0.000 0.214 0.500

---

# PBE-GGA BaCa3Hg4, relaxed
# Mass density = 7.39 g cm⁻³
# Formation energy = -49 kJ/mol of atoms
# Total magnetization = 0.00 μB/atom
# Electronic total energy = -1.653 eV/atom
# DOS(E_F) = 5.5 states/eV/cell
data_BaCa3Hg4
_space_group_name_H-M_alt 'P 4/m m m'
_space_group_IT_number 123
_space_group_name_Hall '-P 4 2'
_cell_length_a 5.554
_cell_length_b 5.554
_cell_length_c 7.721
_cell_angle_alpha 90.00
_cell_angle_beta 90.00
_cell_angle_gamma 90.00
loop_
_atom_site_label
_atom_site_type_symbol
_atom_site_fract_x
_atom_site_fract_y
_atom_site_fract_z
Ba1 Ba 0.000 0.000 0.000
Ca1 Ca 0.000 0.000 0.500
Ca2 Ca 0.500 0.500 0.000
Ca3 Ca 0.500 0.500 0.500
Hg1 Hg 0.000 0.500 0.271